Material: MoPt3N
Method: DFT, PBEsol
State: relaxed

Computed properties:
- Formation energy without anion corrections: 0.7460 eV/atom
- Magnetization: 2.84 μB/f.u.

a b c (Å): 4.1419 4.1419 4.1419
angles (deg): 90.00 90.00 90.00
Closest atoms and distances in Å follow each position.
Fractional positions:
Mo1 0.0000 0.0000 0.0000  12 Pt 2.93
Pt1 0.0000 0.5000 0.5000  2 N 2.07
Pt2 0.5000 0.0000 0.5000  2 N 2.07
Pt3 0.5000 0.5000 0.0000  2 N 2.07
N1 0.5000 0.5000 0.5000  6 Pt 2.07


Material: Mo2PtRhN
Method: DFT, PBEsol
State: relaxed

Computed properties:
- Formation energy without anion corrections: -0.0830 eV/atom
- Magnetization: 0.00 μB/f.u.

a b c (Å): 3.9958 3.9958 4.1588
angles (deg): 90.00 90.00 90.00
Closest atoms and distances in Å follow each position.
Fractional positions:
Mo1 0.0000 0.5000 0.0000  2 N 2.00
Mo2 0.5000 0.0000 0.0000  2 N 2.00
Pt1 0.0000 0.0000 0.5000  2 N 2.08
Rh1 0.5000 0.5000 0.5000  4 Pt 2.83, 8 Mo 2.88
N1 0.0000 0.0000 0.0000  4 Mo 2.00, 2 Pt 2.08


Material: MoPtSe2N
Method: DFT, PBEsol
State: relaxed

Computed properties:
- Formation energy without anion corrections: 0.9020 eV/atom
- Magnetization: 3.36 μB/f.u.

a b c (Å): 5.0986 5.0986 3.6019
angles (deg): 90.00 90.00 90.00
Closest atoms and distances in Å follow each position.
Fractional positions:
Mo1 0.0000 0.0000 0.0000  8 Se 3.12
Pt1 0.5000 0.5000 0.5000  2 N 1.80
Se1 0.0000 0.5000 0.5000  2 Pt 2.55
Se2 0.5000 0.0000 0.5000  2 Pt 2.55
N1 0.5000 0.5000 0.0000  2 Pt 1.80


Material: ReMo2SN
Method: DFT, PBEsol
State: relaxed

Computed properties:
- Formation energy without anion corrections: 1.7808 eV/atom
- Magnetization: 0.00 μB/f.u.

a b c (Å): 4.3297 4.3297 4.2591
angles (deg): 90.00 90.00 90.00
Closest atoms and distances in Å follow each position.
Fractional positions:
Re1 0.0000 0.0000 0.0000  2 S 2.13
Mo1 0.0000 0.5000 0.5000  2 S 2.16
Mo2 0.5000 0.0000 0.5000  2 S 2.16
S1 0.0000 0.0000 0.5000  2 Re 2.13, 4 Mo 2.16
N1 0.5000 0.5000 0.0000  8 Mo 3.04, 4 Re 3.06


Material: MoRhN2
Method: DFT, PBEsol
State: relaxed

Computed properties:
- Formation energy without anion corrections: -0.0975 eV/atom
- Magnetization: 0.00 μB/f.u.

a b c (Å): 6.5512 6.5512 6.5512
angles (deg): 25.13 25.13 25.13
Closest atoms and distances in Å follow each position.
Fractional positions:
Mo1 0.0000 0.0000 0.0000  6 N 2.06
Rh1 0.5000 0.5000 0.5000  2 N 1.94
N1 0.3981 0.3981 0.3981  1 Rh 1.94, 3 Mo 2.06
N2 0.6019 0.6019 0.6019  1 Rh 1.94, 3 Mo 2.06


Material: MoRhSe2N
Method: DFT, PBEsol
State: relaxed

Computed properties:
- Formation energy without anion corrections: 0.7332 eV/atom
- Magnetization: 3.19 μB/f.u.

a b c (Å): 4.9685 4.9685 3.5670
angles (deg): 90.00 90.00 90.00
Closest atoms and distances in Å follow each position.
Fractional positions:
Mo1 0.0000 0.0000 0.0000  8 Se 3.06
Rh1 0.5000 0.5000 0.5000  2 N 1.78
Se1 0.0000 0.5000 0.5000  2 Rh 2.48
Se2 0.5000 0.0000 0.5000  2 Rh 2.48
N1 0.5000 0.5000 0.0000  2 Rh 1.78


Material: MoRuSeN2
Method: DFT, PBEsol
State: relaxed

Computed properties:
- Formation energy without anion corrections: 1.0370 eV/atom
- Magnetization: 3.08 μB/f.u.

a b c (Å): 3.7537 3.7537 5.2068
angles (deg): 90.00 90.00 90.00
Closest atoms and distances in Å follow each position.
Fractional positions:
Mo1 0.0000 0.0000 0.0000  4 Se 2.65
Ru1 0.5000 0.5000 0.5000  4 N 1.88
Se1 0.5000 0.5000 0.0000  2 Ru 2.60, 4 Mo 2.65
N1 0.0000 0.5000 0.5000  2 Ru 1.88
N2 0.5000 0.0000 0.5000  2 Ru 1.88


Material: Te2MoRuN
Method: DFT, PBEsol
State: relaxed

Computed properties:
- Formation energy without anion corrections: 0.7269 eV/atom
- Magnetization: 2.89 μB/f.u.

a b c (Å): 5.2765 5.2765 3.5893
angles (deg): 90.00 90.00 90.00
Closest atoms and distances in Å follow each position.
Fractional positions:
Te1 0.0000 0.5000 0.0000  2 Ru 2.64
Te2 0.5000 0.0000 0.0000  2 Ru 2.64
Mo1 0.0000 0.0000 0.5000  8 Te 3.19
Ru1 0.5000 0.5000 0.0000  2 N 1.79
N1 0.5000 0.5000 0.5000  2 Ru 1.79


Material: TeMoRuN2
Method: DFT, PBEsol
State: relaxed

Computed properties:
- Formation energy without anion corrections: 1.1861 eV/atom
- Magnetization: 3.12 μB/f.u.

a b c (Å): 3.8225 3.8225 5.5618
angles (deg): 90.00 90.00 90.00
Closest atoms and distances in Å follow each position.
Fractional positions:
Te1 0.0000 0.0000 0.0000  4 Mo 2.70, 2 Ru 2.78
Mo1 0.5000 0.5000 0.0000  4 Te 2.70
Ru1 0.0000 0.0000 0.5000  4 N 1.91
N1 0.0000 0.5000 0.5000  2 Ru 1.91
N2 0.5000 0.0000 0.5000  2 Ru 1.91


Material: Mo2SN
Method: DFT, PBEsol
State: relaxed

Computed properties:
- Formation energy without anion corrections: 0.0961 eV/atom
- Magnetization: 0.00 μB/f.u.

a b c (Å): 4.0103 4.0103 4.0103
angles (deg): 60.00 60.00 60.00
Closest atoms and distances in Å follow each position.
Fractional positions:
Mo1 0.2500 0.2500 0.2500  4 N 2.46, 4 S 2.46
Mo2 0.7500 0.7500 0.7500  4 N 2.46, 4 S 2.46
S1 0.0000 0.0000 0.0000  8 Mo 2.46
N1 0.5000 0.5000 0.5000  8 Mo 2.46


Material: ScMoSN2
Method: DFT, PBEsol
State: relaxed

Computed properties:
- Formation energy without anion corrections: 0.8322 eV/atom
- Magnetization: 1.51 μB/f.u.

a b c (Å): 3.9942 3.9942 4.8303
angles (deg): 90.00 90.00 90.00
Closest atoms and distances in Å follow each position.
Fractional positions:
Sc1 0.0000 0.0000 0.0000  4 N 2.00
Mo1 0.5000 0.5000 0.5000  4 S 2.82, 8 N 3.13
S1 0.0000 0.0000 0.5000  2 Sc 2.42
N1 0.0000 0.5000 0.0000  2 Sc 2.00
N2 0.5000 0.0000 0.0000  2 Sc 2.00


Material: SrMoSN2
Method: DFT, PBEsol
State: relaxed

Computed properties:
- Formation energy without anion corrections: 2.1724 eV/atom
- Magnetization: 8.40 μB/f.u.

a b c (Å): 4.5308 4.5308 5.7852
angles (deg): 90.00 90.00 90.00
Closest atoms and distances in Å follow each position.
Fractional positions:
Sr1 0.0000 0.0000 0.0000  4 N 2.27
Mo1 0.5000 0.5000 0.5000  4 S 3.20
S1 0.0000 0.0000 0.5000  2 Sr 2.89, 4 Mo 3.20
N1 0.0000 0.5000 0.0000  2 Sr 2.27
N2 0.5000 0.0000 0.0000  2 Sr 2.27


| no. | E (eV/f.u.) |
| --- | --- |
| 1 | -37.5 |
| 2 | -47.6 |
| 3 | -30.4 |
| 4 | -40.9 |
| 5 | -37.3 |
| 6 | -32.5 |
| 7 | -37.7 |
| 8 | -33.9 |
| 9 | -36.6 |
| 10 | -36.1 |
| 11 | -35.6 |
| 12 | -24.2 |